Entry 1:
A plane-wave DFT calculation with meta-GGA SCAN was carried out for a crystal of LaBe2TlIn relaxed with PBEsol.

Computed properties:
E_form = 0.429 eV per atom
Space group = P4/mmm, No. 123
M_tot = 0.0000 μB per atom
D(E_F) = 1.94 states/eV/cell

```
LaBe2TlIn
1.0
4.605 0.000 0.000
0.000 4.605 0.000
0.000 0.000 5.640
La Be Tl In
1 2 1 1
direct
0.500 0.500 0.500
0.500 0.000 0.000
0.000 0.500 0.000
0.000 0.000 0.500
0.000 0.000 0.000
```



Entry 2:
A plane-wave DFT calculation with meta-GGA SCAN was carried out for a crystal of ScTeI2O relaxed with PBEsol.

Computed properties:
Space group = P4/mmm, No. 123
M_tot = 0.0001 μB per atom
ΔE_f (raw) = -1.0644 eV per atom
D(E_F) = 2.23 states/eV/cell

```
ScTeI2O
1.0
-0.122 -3.432 -1.688
-1.713 -2.437 5.078
-5.629 0.917 -1.459
Sc Te O I
1 1 1 2
direct
0.000 0.000 0.000
0.500 0.500 0.500
0.500 0.000 0.000
0.000 0.000 0.500
0.000 0.500 0.000
```



Entry 3:
A plane-wave DFT calculation with meta-GGA SCAN was carried out for a crystal of SrBe2Br2 relaxed with PBEsol.

Computed properties:
Space group = I4/mmm, No. 139
M_tot = 0.0000 μB per atom
ΔE_f (raw) = -0.4560 eV per atom
D(E_F) = 0.83 states/eV/cell

```
SrBe2Br2
1.0
-2.759 -1.187 1.682
-0.375 -2.476 -2.363
7.774 -4.537 6.029
Sr Br Be
1 2 2
direct
0.000 0.000 0.000
0.414 0.414 0.827
0.586 0.586 0.173
0.250 0.750 0.500
0.750 0.250 0.500
```